(1)
The following is a DFT calculation (GGA-PBE) of a relaxed YRe2Se crystal.

Structure (CIF):
```
data_YRe2Se
_chemical_formula_sum 'Y1 Re2 Se1'
_cell_length_a 3.316
_cell_length_b 5.293
_cell_length_c 4.386
_cell_angle_alpha 90.00
_cell_angle_beta 90.13
_cell_angle_gamma 90.00
_symmetry_space_group_name_H-M 'P 1 2/m 1'
_symmetry_Int_Tables_number 10
_symmetry_space_group_name_Hall '-P 2y'
loop_
_atom_site_label
_atom_site_type_symbol
_atom_site_fract_x
_atom_site_fract_y
_atom_site_fract_z
Y1 Y 0.000 0.000 0.000
Re1 Re 0.318 0.500 0.247
Se1 Se 0.500 0.000 0.500
```

Calculated total energy: -34.083 eV per formula unit
Magnetic moment: 0.00 μB/f.u.
Energy relative to the elements, uncorrected: 0.19 eV per atom

=====

(2)
The following is a DFT calculation (GGA-PBE) of a relaxed YReSe crystal.

Structure (CIF):
```
data_YReSe
_chemical_formula_sum 'Y2 Re2 Se2'
_cell_length_a 3.240
_cell_length_b 3.240
_cell_length_c 11.167
_cell_angle_alpha 90.00
_cell_angle_beta 90.00
_cell_angle_gamma 90.00
_symmetry_space_group_name_H-M 'I 4 m m'
_symmetry_Int_Tables_number 107
_symmetry_space_group_name_Hall 'I 4 -2'
loop_
_atom_site_label
_atom_site_type_symbol
_atom_site_fract_x
_atom_site_fract_y
_atom_site_fract_z
Y1 Y 0.000 0.000 0.000
Re1 Re 0.000 0.000 0.683
Se1 Se 0.000 0.000 0.294
```

Calculated total energy: -22.766 eV per formula unit
Magnetic moment: 0.00 μB/f.u.
E above lowest polymorph: 0.045 eV/atom
Energy relative to the elements, uncorrected: -0.12 eV per atom

=====

(3)
The following is a DFT calculation (GGA-PBE) of a relaxed YRe2Se crystal.

Structure (CIF):
```
data_YRe2Se
_chemical_formula_sum 'Y2 Re4 Se2'
_cell_length_a 3.642
_cell_length_b 5.268
_cell_length_c 8.388
_cell_angle_alpha 90.00
_cell_angle_beta 90.00
_cell_angle_gamma 90.00
_symmetry_space_group_name_H-M 'I m m 2'
_symmetry_Int_Tables_number 44
_symmetry_space_group_name_Hall 'I 2 -2'
loop_
_atom_site_label
_atom_site_type_symbol
_atom_site_fract_x
_atom_site_fract_y
_atom_site_fract_z
Y1 Y 0.000 0.000 0.000
Re1 Re 0.000 0.000 0.509
Re2 Re 0.000 0.500 0.819
Se1 Se 0.000 0.500 0.232
```

Calculated total energy: -34.005 eV per formula unit
Magnetic moment: 0.00 μB/f.u.
Energy relative to the elements, uncorrected: 0.21 eV per atom

=====

(4)
The following is a DFT calculation (GGA-PBE) of a relaxed YReSe2 crystal.

Structure (CIF):
```
data_YReSe2
_chemical_formula_sum 'Y1 Re1 Se2'
_cell_length_a 3.590
_cell_length_b 3.590
_cell_length_c 6.178
_cell_angle_alpha 90.00
_cell_angle_beta 90.00
_cell_angle_gamma 90.00
_symmetry_space_group_name_H-M 'P 4 m m'
_symmetry_Int_Tables_number 99
_symmetry_space_group_name_Hall 'P 4 -2'
loop_
_atom_site_label
_atom_site_type_symbol
_atom_site_fract_x
_atom_site_fract_y
_atom_site_fract_z
Y1 Y 0.000 0.000 0.000
Re1 Re 0.500 0.500 0.341
Se1 Se 0.000 0.000 0.467
Se2 Se 0.500 0.500 0.799
```

Calculated total energy: -27.412 eV per formula unit
Magnetic moment: 0.00 μB/f.u.
E above lowest polymorph: 0.165 eV/atom
Energy relative to the elements, uncorrected: -0.38 eV per atom

=====

(5)
The following is a DFT calculation (GGA-PBE) of a relaxed YRe4Se8 crystal.

Structure (CIF):
```
data_YRe4Se8
_chemical_formula_sum 'Y2 Re8 Se16'
_cell_length_a 12.872
_cell_length_b 7.440
_cell_length_c 7.587
_cell_angle_alpha 90.00
_cell_angle_beta 124.41
_cell_angle_gamma 90.00
_symmetry_space_group_name_H-M 'C 1 2/m 1'
_symmetry_Int_Tables_number 12
_symmetry_space_group_name_Hall '-C 2y'
loop_
_atom_site_label
_atom_site_type_symbol
_atom_site_fract_x
_atom_site_fract_y
_atom_site_fract_z
Y1 Y 0.000 0.000 0.000
Re1 Re 0.000 0.000 0.500
Re2 Re 0.000 0.500 0.500
Re3 Re 0.250 0.250 0.500
Se1 Se 0.006 0.256 0.275
Se2 Se 0.237 0.500 0.725
Se3 Se 0.242 0.000 0.725
```

Calculated total energy: -85.993 eV per formula unit
Magnetic moment: 6.47 μB/f.u.
Energy relative to the elements, uncorrected: -0.14 eV per atom

=====

(6)
The following is a DFT calculation (GGA-PBE) of a relaxed YRe2Se crystal.

Structure (CIF):
```
data_YRe2Se
_chemical_formula_sum 'Y1 Re2 Se1'
_cell_length_a 3.100
_cell_length_b 3.100
_cell_length_c 7.496
_cell_angle_alpha 90.00
_cell_angle_beta 90.00
_cell_angle_gamma 90.00
_symmetry_space_group_name_H-M 'P 4/m m m'
_symmetry_Int_Tables_number 123
_symmetry_space_group_name_Hall '-P 4 2'
loop_
_atom_site_label
_atom_site_type_symbol
_atom_site_fract_x
_atom_site_fract_y
_atom_site_fract_z
Y1 Y 0.000 0.000 0.000
Re1 Re 0.500 0.500 0.302
Se1 Se 0.000 0.000 0.500
```

Calculated total energy: -32.593 eV per formula unit
Magnetic moment: 0.00 μB/f.u.
Energy relative to the elements, uncorrected: 0.56 eV per atom

=====

(7)
The following is a DFT calculation (GGA-PBE) of a relaxed YRe2Se crystal.

Structure (CIF):
```
data_YRe2Se
_chemical_formula_sum 'Y2 Re4 Se2'
_cell_length_a 3.342
_cell_length_b 5.038
_cell_length_c 8.646
_cell_angle_alpha 90.00
_cell_angle_beta 90.00
_cell_angle_gamma 90.00
_symmetry_space_group_name_H-M 'C m m m'
_symmetry_Int_Tables_number 65
_symmetry_space_group_name_Hall '-C 2 2'
loop_
_atom_site_label
_atom_site_type_symbol
_atom_site_fract_x
_atom_site_fract_y
_atom_site_fract_z
Y1 Y 0.000 0.000 0.000
Re1 Re 0.000 0.500 0.276
Se1 Se 0.000 0.000 0.500
```

Calculated total energy: -31.697 eV per formula unit
Magnetic moment: 0.00 μB/f.u.
Energy relative to the elements, uncorrected: 0.79 eV per atom

=====

(8)
The following is a DFT calculation (GGA-PBE) of a relaxed YReSe2 crystal.

Structure (CIF):
```
data_YReSe2
_chemical_formula_sum 'Y3 Re3 Se6'
_cell_length_a 3.7676
_cell_length_b 3.7676
_cell_length_c 24.3551
_cell_angle_alpha 90.00
_cell_angle_beta 90.00
_cell_angle_gamma 120.00
_symmetry_space_group_name_H-M 'R 3 m'
_symmetry_Int_Tables_number 160
_symmetry_space_group_name_Hall 'R 3 -2"'
loop_
_atom_site_label
_atom_site_type_symbol
_atom_site_fract_x
_atom_site_fract_y
_atom_site_fract_z
Y1 Y 0.0000 0.0000 0.0000
Re1 Re 0.0000 0.0000 0.7655
Se1 Se 0.0000 0.0000 0.2650
Se2 Se 0.0000 0.0000 0.4772
```

Calculated total energy: -26.822 eV per formula unit
Magnetic moment: 0.21 μB/f.u.
E above lowest polymorph: 0.312 eV/atom
Energy relative to the elements, uncorrected: -0.24 eV per atom

=====

(9)
The following is a DFT calculation (GGA-PBE) of a relaxed Zn3ReSe crystal.

Structure (CIF):
```
data_Zn3ReSe
_chemical_formula_sum 'Zn3 Re1 Se1'
_cell_length_a 4.773
_cell_length_b 4.773
_cell_length_c 4.773
_cell_angle_alpha 90.00
_cell_angle_beta 90.00
_cell_angle_gamma 90.00
_symmetry_space_group_name_H-M 'P m -3 m'
_symmetry_Int_Tables_number 221
_symmetry_space_group_name_Hall '-P 4 2 3'
loop_
_atom_site_label
_atom_site_type_symbol
_atom_site_fract_x
_atom_site_fract_y
_atom_site_fract_z
Zn1 Zn 0.000 0.000 0.500
Re1 Re 0.500 0.500 0.500
Se1 Se 0.000 0.000 0.000
```

Calculated total energy: -12.690 eV per formula unit
Magnetic moment: 3.38 μB/f.u.
E above lowest polymorph: 0.361 eV/atom
Energy relative to the elements, uncorrected: 1.41 eV per atom

=====

(10)
The following is a DFT calculation (GGA-PBE) of a relaxed ZnRe4Se8 crystal.

Structure (CIF):
```
data_ZnRe4Se8
_chemical_formula_sum 'Zn3 Re12 Se24'
_cell_length_a 6.4632
_cell_length_b 6.4632
_cell_length_c 22.6387
_cell_angle_alpha 90.00
_cell_angle_beta 90.00
_cell_angle_gamma 120.00
_symmetry_space_group_name_H-M 'R -3 m'
_symmetry_Int_Tables_number 166
_symmetry_space_group_name_Hall '-R 3 2"'
loop_
_atom_site_label
_atom_site_type_symbol
_atom_site_fract_x
_atom_site_fract_y
_atom_site_fract_z
Zn1 Zn 0.0000 0.0000 0.0000
Re1 Re 0.0000 0.0000 0.5000
Re2 Re 0.0000 0.5000 0.5000
Se1 Se 0.0000 0.0000 0.2448
Se2 Se 0.0001 0.5000 0.2443
```

Calculated total energy: -78.657 eV per formula unit
Magnetic moment: 0.00 μB/f.u.
Energy relative to the elements, uncorrected: 0.02 eV per atom

=====

(11)
The following is a DFT calculation (GGA-PBE) of a relaxed ZnRe3Se crystal.

Structure (CIF):
```
data_ZnRe3Se
_chemical_formula_sum 'Zn1 Re3 Se1'
_cell_length_a 4.540
_cell_length_b 4.540
_cell_length_c 4.540
_cell_angle_alpha 90.00
_cell_angle_beta 90.00
_cell_angle_gamma 90.00
_symmetry_space_group_name_H-M 'P m -3 m'
_symmetry_Int_Tables_number 221
_symmetry_space_group_name_Hall '-P 4 2 3'
loop_
_atom_site_label
_atom_site_type_symbol
_atom_site_fract_x
_atom_site_fract_y
_atom_site_fract_z
Zn1 Zn 0.000 0.000 0.000
Re1 Re 0.000 0.500 0.500
Se1 Se 0.500 0.500 0.500
```

Calculated total energy: -33.400 eV per formula unit
Magnetic moment: 0.62 μB/f.u.
E above lowest polymorph: 0.000 eV/atom
Energy relative to the elements, uncorrected: 1.74 eV per atom

=====

(12)
The following is a DFT calculation (GGA-PBE) of a relaxed ZnReSe4 crystal.

Structure (CIF):
```
data_ZnReSe4
_chemical_formula_sum 'Zn4 Re4 Se16'
_cell_length_a 7.988
_cell_length_b 7.988
_cell_length_c 7.988
_cell_angle_alpha 90.00
_cell_angle_beta 90.00
_cell_angle_gamma 90.00
_symmetry_space_group_name_H-M 'F -4 3 m'
_symmetry_Int_Tables_number 216
_symmetry_space_group_name_Hall 'F -4 2 3'
loop_
_atom_site_label
_atom_site_type_symbol
_atom_site_fract_x
_atom_site_fract_y
_atom_site_fract_z
Zn1 Zn 0.000 0.000 0.000
Re1 Re 0.250 0.250 0.750
Se1 Se 0.124 0.124 0.376
```

Calculated total energy: -20.012 eV per formula unit
Magnetic moment: 4.08 μB/f.u.
Energy relative to the elements, uncorrected: 1.27 eV per atom

=====

(13)
The following is a DFT calculation (GGA-PBE) of a relaxed Zn3ReSe crystal.

Structure (CIF):
```
data_Zn3ReSe
_chemical_formula_sum 'Zn3 Re1 Se1'
_cell_length_a 4.927
_cell_length_b 4.927
_cell_length_c 4.927
_cell_angle_alpha 90.00
_cell_angle_beta 90.00
_cell_angle_gamma 90.00
_symmetry_space_group_name_H-M 'P m -3 m'
_symmetry_Int_Tables_number 221
_symmetry_space_group_name_Hall '-P 4 2 3'
loop_
_atom_site_label
_atom_site_type_symbol
_atom_site_fract_x
_atom_site_fract_y
_atom_site_fract_z
Zn1 Zn 0.000 0.000 0.500
Re1 Re 0.000 0.000 0.000
Se1 Se 0.500 0.500 0.500
```

Calculated total energy: -14.493 eV per formula unit
Magnetic moment: 2.69 μB/f.u.
E above lowest polymorph: 0.000 eV/atom
Energy relative to the elements, uncorrected: 1.05 eV per atom

=====

(14)
The following is a DFT calculation (GGA-PBE) of a relaxed Zr2ReSe crystal.

Structure (CIF):
```
data_Zr2ReSe
_chemical_formula_sum 'Zr4 Re2 Se2'
_cell_length_a 3.350
_cell_length_b 4.389
_cell_length_c 10.435
_cell_angle_alpha 90.00
_cell_angle_beta 90.00
_cell_angle_gamma 90.00
_symmetry_space_group_name_H-M 'I m m 2'
_symmetry_Int_Tables_number 44
_symmetry_space_group_name_Hall 'I 2 -2'
loop_
_atom_site_label
_atom_site_type_symbol
_atom_site_fract_x
_atom_site_fract_y
_atom_site_fract_z
Zr1 Zr 0.000 0.000 0.000
Zr2 Zr 0.000 0.500 0.233
Re1 Re 0.000 0.500 0.730
Se1 Se 0.000 0.000 0.434
```

Calculated total energy: -34.357 eV per formula unit
Magnetic moment: 0.00 μB/f.u.
Energy relative to the elements, uncorrected: -0.33 eV per atom

=====

(15)
The following is a DFT calculation (GGA-PBE) of a relaxed Zr2ReSe crystal.

Structure (CIF):
```
data_Zr2ReSe
_chemical_formula_sum 'Zr2 Re1 Se1'
_cell_length_a 3.503
_cell_length_b 4.200
_cell_length_c 5.634
_cell_angle_alpha 90.00
_cell_angle_beta 90.00
_cell_angle_gamma 90.00
_symmetry_space_group_name_H-M 'P m m 2'
_symmetry_Int_Tables_number 25
_symmetry_space_group_name_Hall 'P 2 -2'
loop_
_atom_site_label
_atom_site_type_symbol
_atom_site_fract_x
_atom_site_fract_y
_atom_site_fract_z
Zr1 Zr 0.000 0.000 0.000
Zr2 Zr 0.500 0.500 0.384
Re1 Re 0.000 0.000 0.445
Se1 Se 0.500 0.500 0.883
```

Calculated total energy: -34.180 eV per formula unit
Magnetic moment: 0.00 μB/f.u.
Energy relative to the elements, uncorrected: -0.29 eV per atom

=====

(16)
The following is a DFT calculation (GGA-PBE) of a relaxed Zr3ReSe crystal.

Structure (CIF):
```
data_Zr3ReSe
_chemical_formula_sum 'Zr3 Re1 Se1'
_cell_length_a 4.882
_cell_length_b 4.882
_cell_length_c 4.882
_cell_angle_alpha 90.00
_cell_angle_beta 90.00
_cell_angle_gamma 90.00
_symmetry_space_group_name_H-M 'P m -3 m'
_symmetry_Int_Tables_number 221
_symmetry_space_group_name_Hall '-P 4 2 3'
loop_
_atom_site_label
_atom_site_type_symbol
_atom_site_fract_x
_atom_site_fract_y
_atom_site_fract_z
Zr1 Zr 0.000 0.000 0.500
Re1 Re 0.500 0.500 0.500
Se1 Se 0.000 0.000 0.000
```

Calculated total energy: -39.130 eV per formula unit
Magnetic moment: 1.40 μB/f.u.
E above lowest polymorph: 0.070 eV/atom
Energy relative to the elements, uncorrected: 0.49 eV per atom

=====

(17)
The following is a DFT calculation (GGA-PBE) of a relaxed Zr2ReSe crystal.

Structure (CIF):
```
data_Zr2ReSe
_chemical_formula_sum 'Zr2 Re1 Se1'
_cell_length_a 3.421
_cell_length_b 4.423
_cell_length_c 5.354
_cell_angle_alpha 90.00
_cell_angle_beta 108.60
_cell_angle_gamma 90.00
_symmetry_space_group_name_H-M 'P 1 m 1'
_symmetry_Int_Tables_number 6
_symmetry_space_group_name_Hall 'P -2y'
loop_
_atom_site_label
_atom_site_type_symbol
_atom_site_fract_x
_atom_site_fract_y
_atom_site_fract_z
Zr1 Zr 0.000 0.000 0.000
Zr2 Zr 0.282 0.500 0.565
Re1 Re 0.545 0.500 0.087
Se1 Se 0.724 0.000 0.449
```

Calculated total energy: -35.003 eV per formula unit
Magnetic moment: 0.00 μB/f.u.
Energy relative to the elements, uncorrected: -0.49 eV per atom

=====

(18)
The following is a DFT calculation (GGA-PBE) of a relaxed Zr3ReSe crystal.

Structure (CIF):
```
data_Zr3ReSe
_chemical_formula_sum 'Zr3 Re1 Se1'
_cell_length_a 5.085
_cell_length_b 5.085
_cell_length_c 5.085
_cell_angle_alpha 90.00
_cell_angle_beta 90.00
_cell_angle_gamma 90.00
_symmetry_space_group_name_H-M 'P m -3 m'
_symmetry_Int_Tables_number 221
_symmetry_space_group_name_Hall '-P 4 2 3'
loop_
_atom_site_label
_atom_site_type_symbol
_atom_site_fract_x
_atom_site_fract_y
_atom_site_fract_z
Zr1 Zr 0.000 0.000 0.500
Re1 Re 0.000 0.000 0.000
Se1 Se 0.500 0.500 0.500
```

Calculated total energy: -39.478 eV per formula unit
Magnetic moment: 0.00 μB/f.u.
E above lowest polymorph: 0.000 eV/atom
Energy relative to the elements, uncorrected: 0.42 eV per atom

=====

(19)
The following is a DFT calculation (GGA-PBE) of a relaxed ZrRe3Se crystal.

Structure (CIF):
```
data_ZrRe3Se
_chemical_formula_sum 'Zr1 Re3 Se1'
_cell_length_a 4.544
_cell_length_b 4.544
_cell_length_c 4.544
_cell_angle_alpha 90.00
_cell_angle_beta 90.00
_cell_angle_gamma 90.00
_symmetry_space_group_name_H-M 'P m -3 m'
_symmetry_Int_Tables_number 221
_symmetry_space_group_name_Hall '-P 4 2 3'
loop_
_atom_site_label
_atom_site_type_symbol
_atom_site_fract_x
_atom_site_fract_y
_atom_site_fract_z
Zr1 Zr 0.000 0.000 0.000
Re1 Re 0.000 0.500 0.500
Se1 Se 0.500 0.500 0.500
```

Calculated total energy: -43.820 eV per formula unit
Magnetic moment: 0.00 μB/f.u.
E above lowest polymorph: 0.000 eV/atom
Energy relative to the elements, uncorrected: 1.11 eV per atom

=====

(20)
The following is a DFT calculation (GGA-PBE) of a relaxed Zr2ReSe crystal.

Structure (CIF):
```
data_Zr2ReSe
_chemical_formula_sum 'Zr6 Re3 Se3'
_cell_length_a 3.2621
_cell_length_b 3.2621
_cell_length_c 25.8495
_cell_angle_alpha 90.00
_cell_angle_beta 90.00
_cell_angle_gamma 120.00
_symmetry_space_group_name_H-M 'R 3 m'
_symmetry_Int_Tables_number 160
_symmetry_space_group_name_Hall 'R 3 -2"'
loop_
_atom_site_label
_atom_site_type_symbol
_atom_site_fract_x
_atom_site_fract_y
_atom_site_fract_z
Zr1 Zr 0.0000 0.0000 0.0000
Zr2 Zr 0.0000 0.0000 0.2358
Re1 Re 0.0000 0.0000 0.7471
Se1 Se 0.0000 0.0000 0.4846
```

Calculated total energy: -32.603 eV per formula unit
Magnetic moment: 0.00 μB/f.u.
Energy relative to the elements, uncorrected: 0.11 eV per atom